{
  "formula": "CaBe2Fe",
  "functional": "PBE-GGA",
  "state": "optimized geometry",
  "spacegroup": "Imm2 (44)",
  "dft_energy_ev_per_cell": -15.80,
  "volume_a3_per_fu": 56.5,
  "dos_at_fermi_per_ev_cell": 2.84,
  "cell": [[5.186, 0.074, 0.032], [2.284, 4.657, -0.032], [-3.030, -3.479, 2.371]],
  "species": ["Ca", "Be", "Be", "Fe"],
  "fractional_positions": [[0.504, 0.504, 0.000], [0.993, 0.993, 0.000], [0.795, 0.295, 0.500], [0.207, 0.707, 0.500]]
}